(1)
An optimized crystal structure of InHgBr6, computed with GGA-PBE.

- E_form (uncorrected) (eV per formula unit) = -3.452
- symmetry = P-1 (2)
- calculated volume (Å³/cell) = 287
- total magnetization (μB per formula unit) = 1.02

Cell: 7.146 7.329 7.286 Å, 65.06 57.88 68.02°
Site moments in Bohr magnetons follow the coordinates.
Element x y z (fractional)
In 0.000 0.000 0.000  0.00
Br 0.835 0.049 0.714  0.33
Br 0.165 0.951 0.286  0.33
Br 0.612 0.216 0.195  0.06
Br 0.118 0.408 0.735  0.01
Br 0.388 0.784 0.805  0.06
Br 0.882 0.592 0.265  0.01
Hg 0.500 0.500 0.500  0.01

(2)
An optimized crystal structure of InHg2Br, computed with GGA-PBE.

- E_form (uncorrected) (eV per formula unit) = -0.720
- symmetry = Fm-3m (225)
- calculated volume (Å³/cell) = 123
- total magnetization (μB per formula unit) = 0.00

Cell: 5.580 5.580 5.580 Å, 60.00 60.00 60.00°
Element x y z (fractional)
Hg 0.750 0.750 0.750
Hg 0.250 0.250 0.250
In 0.500 0.500 0.500
Br 0.000 0.000 0.000

(3)
An optimized crystal structure of In2Hg3Br, computed with GGA-PBE.

- E_form (uncorrected) (eV per formula unit) = -0.967
- symmetry = C2/m (12)
- calculated volume (Å³/cell) = 367
- total magnetization (μB per formula unit) = 0.00

Cell: 10.502 10.502 8.924 Å, 71.25 71.25 23.23°
Element x y z (fractional)
In 0.593 0.593 0.889
In 0.407 0.407 0.111
In 0.160 0.160 0.364
In 0.840 0.840 0.636
Hg 0.442 0.442 0.431
Hg 0.035 0.035 0.185
Hg 0.692 0.692 0.078
Hg 0.965 0.965 0.815
Hg 0.558 0.558 0.569
Hg 0.308 0.308 0.922
Br 0.193 0.193 0.684
Br 0.807 0.807 0.316